No. 1
Entry from Alexandria: a relaxed structure of La3Sm2ErP6 (PBE).

Results
The energy relative to the elements is -151.3 kJ/mol of atoms. Its space group is C2/m, No. 12.

Cell: 7.220 7.220 7.223 Å, 99.59 99.59 120.00°
Fractional coordinates of all 12 atoms:
La1 0.167 0.833 0.500
La2 0.833 0.167 0.500
La3 0.500 0.500 0.500
Sm1 0.334 0.666 0.000
Sm2 0.666 0.334 0.000
Er1 0.000 0.000 0.000
P1 0.920 0.591 0.761
P2 0.751 0.751 0.240
P3 0.080 0.409 0.239
P4 0.591 0.920 0.761
P5 0.249 0.249 0.760
P6 0.409 0.080 0.239

=====

No. 2
Entry from Alexandria: a relaxed structure of LaSmEr2P4 (PBE).

Results
The energy relative to the elements is -152.1 kJ/mol of atoms. Its space group is P2/m, No. 10.

Cell: 4.083 7.063 7.070 Å, 70.55 90.00 90.00°
Fractional coordinates of all 8 atoms:
La1 0.500 0.500 0.000
Sm1 0.000 0.500 0.500
Er1 0.000 0.000 0.000
Er2 0.500 0.000 0.500
P1 0.000 0.764 0.742
P2 0.000 0.236 0.258
P3 0.500 0.761 0.250
P4 0.500 0.239 0.750

=====

No. 3
Entry from Alexandria: a relaxed structure of LaSm3Er2P6 (PBE).

Results
The energy relative to the elements is -151.3 kJ/mol of atoms. Its space group is C2/m, No. 12.

Cell: 7.087 7.087 7.088 Å, 99.60 99.60 120.00°
Fractional coordinates of all 12 atoms:
La1 0.000 0.000 0.000
Sm1 0.165 0.835 0.500
Sm2 0.835 0.165 0.500
Sm3 0.500 0.500 0.500
Er1 0.333 0.667 0.000
Er2 0.667 0.333 0.000
P1 0.918 0.576 0.753
P2 0.740 0.740 0.246
P3 0.082 0.424 0.247
P4 0.576 0.918 0.753
P5 0.260 0.260 0.754
P6 0.424 0.082 0.247

=====

No. 4
Entry from Alexandria: a relaxed structure of La3TbEr2P6 (PBE).

Results
The energy relative to the elements is -152.1 kJ/mol of atoms. Its space group is C2/m, No. 12.

Cell: 7.159 7.159 7.156 Å, 99.59 99.59 120.00°
Fractional coordinates of all 12 atoms:
La1 0.166 0.834 0.500
La2 0.834 0.166 0.500
La3 0.500 0.500 0.500
Tb1 0.000 0.000 0.000
Er1 0.333 0.667 0.000
Er2 0.667 0.333 0.000
P1 0.922 0.586 0.765
P2 0.743 0.743 0.235
P3 0.078 0.414 0.235
P4 0.586 0.922 0.765
P5 0.257 0.257 0.765
P6 0.414 0.078 0.235